A plane-wave DFT calculation with PBE with a Hubbard U was carried out for a relaxed structure of CrTe3F.

Unit cell a=4.9054 b=4.9054 c=4.9054 alpha=90.00 beta=90.00 gamma=90.00
Fractional coordinates of all 5 atoms:
Cr  0.0000  0.0000  0.0000
Te  0.0000  0.5000  0.5000
Te  0.5000  0.0000  0.5000
Te  0.5000  0.5000  0.0000
F  0.5000  0.5000  0.5000

For the energy above the lowest structure with this stoichiometry, the calculation gives 343 meV per atom. The density is 6.38 Mg/m³. As for the size of the total moment: 1.4 μB/f.u. The density of states at the Fermi level is 7.450 states/eV/cell.